Entry 1:
Compound: La2Sm2CCl4F
Source: OQMD
Functional: GGA-PBE
Structure: relaxed

Lattice parameters (Å, degrees): 17.7022 3.7209 7.5623 90.00 104.63 90.00
Last column: nearest neighbours and their distance in Å.
Space group C2/m (No. 12)
Symmetry-distinct sites (fractional):
La (0.1510, 0.0000, 0.0953) x4  1 C 2.59, 4 Cl 2.84-2.89
Sm (0.0016, 0.5000, 0.7679) x4  2 C 2.56, 2 F 2.75, 2 Cl 2.78-2.85
C (0.0000, 0.0000, 0.0000) x2  4 Sm 2.56, 2 La 2.59
Cl (0.1588, 0.5000, 0.3825) x4  1 Sm 2.78, 2 La 2.84
Cl (0.1662, 0.5000, 0.8134) x4  1 Sm 2.85, 3 La 2.89-3.13
F (0.0000, 0.0000, 0.5000) x2  4 Sm 2.75

Summary:
The calculation puts the size of the total moment at 0.5 μB per cell. The total DFT energy (no corrections) comes out at -5.641 eV/atom.

Entry 2:
Compound: ZrCoSiPd
Source: OQMD
Functional: GGA-PBE
Structure: relaxed

Lattice parameters (Å, degrees): 6.2112 6.2112 6.2112 90.00 90.00 90.00
Last column: nearest neighbours and their distance in Å.
Space group F-43m (No. 216)
Symmetry-distinct sites (fractional):
Zr (0.0000, 0.0000, 0.0000) x4  4 Pd 2.69, 4 Co 2.69
Co (0.2500, 0.2500, 0.7500) x4  4 Zr 2.69, 4 Si 2.69
Si (0.0000, 0.0000, 0.5000) x4  4 Co 2.69, 4 Pd 2.69
Pd (0.2500, 0.2500, 0.2500) x4  4 Zr 2.69, 4 Si 2.69

Summary:
The calculation puts the size of the total moment at 1.4 μB per cell. The total DFT energy (no corrections) comes out at -7.035 eV/atom.

Entry 3:
Compound: La2PrSb3
Source: OQMD
Functional: GGA-PBE
Structure: relaxed

Lattice parameters (Å, degrees): 4.5980 4.5980 11.2995 90.00 90.00 120.00
Last column: nearest neighbours and their distance in Å.
Space group P-3m1 (No. 164)
Symmetry-distinct sites (fractional):
La (0.3333, 0.6667, 0.3325) x2  6 Sb 3.26
Pr (0.0000, 0.0000, 0.0000) x1  6 Sb 3.25
Sb (0.0000, 0.0000, 0.5000) x1  6 La 3.26
Sb (0.3333, 0.6667, 0.8346) x2  3 Pr 3.25, 3 La 3.26

Summary:
The calculation puts the size of the total moment at 0.0 μB per cell. The total DFT energy (no corrections) comes out at -5.749 eV/atom.

Entry 4:
Compound: HfZnNiSb
Source: OQMD
Functional: GGA-PBE
Structure: relaxed

Lattice parameters (Å, degrees): 6.5702 6.5702 6.5702 90.00 90.00 90.00
Last column: nearest neighbours and their distance in Å.
Space group F-43m (No. 216)
Symmetry-distinct sites (fractional):
Hf (0.0000, 0.0000, 0.0000) x4  4 Sb 2.84, 4 Zn 2.84
Zn (0.2500, 0.2500, 0.7500) x4  4 Hf 2.84, 4 Ni 2.84
Ni (0.0000, 0.0000, 0.5000) x4  4 Sb 2.84, 4 Zn 2.84
Sb (0.2500, 0.2500, 0.2500) x4  4 Hf 2.84, 4 Ni 2.84

Summary:
The calculation puts the size of the total moment at 0.1 μB per cell. The total DFT energy (no corrections) comes out at -5.205 eV/atom.

Entry 5:
Compound: Zr4CdPC2
Source: OQMD
Functional: GGA-PBE
Structure: relaxed

Lattice parameters (Å, degrees): 3.4023 3.4023 13.7511 90.00 90.00 120.00
Last column: nearest neighbours and their distance in Å.
Space group P-6m2 (No. 187)
Symmetry-distinct sites (fractional):
Zr (0.0000, 0.0000, 0.1318) x2  3 C 2.37
Zr (0.3333, 0.6667, 0.3164) x2  3 C 2.31
Cd (0.0000, 0.0000, 0.5000) x1  6 Zr 3.20, 6 Cd 3.40
P (0.3333, 0.6667, 0.0000) x1  6 Zr 2.67
C (0.6667, 0.3333, 0.2280) x2  6 Zr 2.31-2.37

Summary:
The calculation puts the size of the total moment at 0.0 μB per cell. The total DFT energy (no corrections) comes out at -8.156 eV/atom.

Entry 6:
Compound: K3HfH2NO3
Source: OQMD
Functional: GGA-PBE
Structure: relaxed

Lattice parameters (Å, degrees): 6.5312 6.7904 7.4082 96.15 102.17 91.69
Last column: nearest neighbours and their distance in Å.
Space group P-1 (No. 2)
Symmetry-distinct sites (fractional):
K (0.1509, 0.1946, 0.4786) x2  4 O 2.61-2.89, 2 H 2.87-2.90
K (0.2221, 0.5180, 0.8718) x2  5 O 2.74-3.07, 1 H 2.85, 1 N 2.91
K (0.2559, 0.0799, 0.0215) x2  5 O 2.63-2.94, 2 H 2.73-2.85
Hf (0.2944, 0.7001, 0.3182) x2  3 O 1.92-1.94
H (0.3923, 0.9012, 0.6747) x2  1 N 1.03
H (0.4933, 0.3130, 0.3201) x2  1 N 1.04
N (0.3743, 0.7545, 0.6168) x2  2 H 1.03-1.04
O (0.0619, 0.8615, 0.2467) x2  1 Hf 1.92
O (0.2010, 0.4264, 0.2311) x2  1 Hf 1.94, 1 H 2.08
O (0.4868, 0.2260, 0.8059) x2  1 Hf 1.94

Summary:
The calculation puts the size of the total moment at 0.0 μB per cell. The total DFT energy (no corrections) comes out at -5.924 eV/atom.

Entry 7:
Compound: Na2NbNiH6
Source: OQMD
Functional: GGA-PBE
Structure: relaxed

Lattice parameters (Å, degrees): 10.1567 8.7850 4.8467 90.00 90.39 90.00
Last column: nearest neighbours and their distance in Å.
Space group P2_1/c (No. 14)
Symmetry-distinct sites (fractional):
Na (0.0632, 0.1279, 0.2476) x4  5 H 2.25-2.48
Na (0.4368, 0.1276, 0.2459) x4  6 H 2.26-2.51
Nb (0.2501, 0.5304, 0.2433) x4  6 H 1.87-1.91
Ni (0.2495, 0.6285, 0.7433) x4  4 H 1.64-1.65
H (0.1266, 0.1272, 0.7416) x4  1 Nb 1.87
H (0.1299, 0.5996, 0.5158) x4  1 Ni 1.65
H (0.1332, 0.6182, 0.9768) x4  1 Ni 1.64
H (0.3656, 0.6204, 0.5095) x4  1 Ni 1.64
H (0.3695, 0.6007, 0.9698) x4  1 Ni 1.65
H (0.3756, 0.1254, 0.7458) x4  1 Nb 1.87

Summary:
The calculation puts the size of the total moment at 7.2 μB per cell. The total DFT energy (no corrections) comes out at -3.876 eV/atom.

Entry 8:
Compound: TmGeAuS3
Source: OQMD
Functional: GGA-PBE
Structure: relaxed

Lattice parameters (Å, degrees): 3.9352 13.7463 10.0614 90.00 90.00 90.00
Last column: nearest neighbours and their distance in Å.
Space group Cmcm (No. 63)
Symmetry-distinct sites (fractional):
Tm (0.0000, 0.0000, 0.0000) x4  6 S 2.68-2.71
Ge (0.0000, 0.3135, 0.2500) x4  4 S 2.56-2.80
Au (0.0000, 0.3398, 0.7500) x4  2 S 2.35
S (0.0000, 0.0677, 0.7500) x4  2 Ge 2.56, 2 Tm 2.68
S (0.0000, 0.3656, 0.5194) x8  1 Au 2.35

Summary:
The calculation puts the size of the total moment at 0.0 μB per cell. The total DFT energy (no corrections) comes out at -5.032 eV/atom.

Entry 9:
Compound: SmTlPd
Source: OQMD
Functional: GGA-PBE
Structure: relaxed

Lattice parameters (Å, degrees): 4.8456 4.8456 6.8981 90.00 90.00 120.00
Last column: nearest neighbours and their distance in Å.
Space group P6_3/mmc (No. 194)
Symmetry-distinct sites (fractional):
Sm (0.0000, 0.0000, 0.0000) x2  6 Pd 3.29, 6 Tl 3.29, 2 Sm 3.45
Tl (0.3333, 0.6667, 0.2500) x2  3 Pd 2.80
Pd (0.3333, 0.6667, 0.7500) x2  3 Tl 2.80

Summary:
The calculation puts the size of the total moment at 0.0 μB per cell. The total DFT energy (no corrections) comes out at -4.662 eV/atom.

Entry 10:
Compound: Ac3ErI
Source: OQMD
Functional: GGA-PBE
Structure: relaxed

Lattice parameters (Å, degrees): 6.1878 6.1878 6.1878 90.00 90.00 90.00
Last column: nearest neighbours and their distance in Å.
Space group Pm-3m (No. 221)
Symmetry-distinct sites (fractional):
Ac (0.0000, 0.0000, 0.5000) x3  2 I 3.09
Er (0.5000, 0.5000, 0.5000) x1  12 Ac 4.38
I (0.0000, 0.0000, 0.0000) x1  6 Ac 3.09

Summary:
The calculation puts the size of the total moment at 0.0 μB per cell. The total DFT energy (no corrections) comes out at -3.575 eV/atom.

Entry 11:
Compound: Mg2Tc3
Source: OQMD
Functional: GGA-PBE
Structure: relaxed

Lattice parameters (Å, degrees): 7.5807 7.5807 9.1760 90.00 90.00 120.00
Last column: nearest neighbours and their distance in Å.
Space group R-3c (No. 167, hexagonal axes)
Symmetry-distinct sites (fractional):
Mg (0.0000, 0.0000, 0.1244) x12  2 Mg 2.28-2.30
Tc (0.0000, 0.3286, 0.2500) x18  4 Mg 2.57-2.74

Summary:
The calculation puts the size of the total moment at 0.0 μB per cell. The total DFT energy (no corrections) comes out at -6.076 eV/atom.

Entry 12:
Compound: DyMgBe
Source: OQMD
Functional: GGA-PBE
Structure: relaxed

Lattice parameters (Å, degrees): 6.5522 6.5522 6.5522 90.00 90.00 90.00
Last column: nearest neighbours and their distance in Å.
Space group F-43m (No. 216)
Symmetry-distinct sites (fractional):
Dy (0.0000, 0.0000, 0.0000) x4  4 Mg 2.84
Mg (0.2500, 0.2500, 0.7500) x4  4 Dy 2.84, 4 Be 2.84
Be (0.0000, 0.0000, 0.5000) x4  4 Mg 2.84

Summary:
The calculation puts the size of the total moment at 0.1 μB per cell. The total DFT energy (no corrections) comes out at -2.632 eV/atom.

Entry 13:
Compound: NaSmBe
Source: OQMD
Functional: GGA-PBE
Structure: relaxed

Lattice parameters (Å, degrees): 6.8696 6.8696 6.8696 90.00 90.00 90.00
Last column: nearest neighbours and their distance in Å.
Space group F-43m (No. 216)
Symmetry-distinct sites (fractional):
Na (0.0000, 0.0000, 0.0000) x4  4 Sm 2.97
Sm (0.2500, 0.2500, 0.7500) x4  4 Na 2.97, 4 Be 2.97
Be (0.0000, 0.0000, 0.5000) x4  4 Sm 2.97

Summary:
The calculation puts the size of the total moment at 0.3 μB per cell. The total DFT energy (no corrections) comes out at -2.247 eV/atom.

Entry 14:
Compound: Ba2MgIrS6
Source: OQMD
Functional: GGA-PBE
Structure: relaxed

Lattice parameters (Å, degrees): 9.7248 9.7248 9.7248 90.00 90.00 90.00
Last column: nearest neighbours and their distance in Å.
Space group Fm-3m (No. 225)
Symmetry-distinct sites (fractional):
Ba (0.2500, 0.2500, 0.2500) x8  12 S 3.44
Mg (0.0000, 0.0000, 0.0000) x4  6 S 2.50
Ir (0.0000, 0.0000, 0.5000) x4  6 S 2.37
S (0.0000, 0.0000, 0.2567) x24  1 Ir 2.37, 1 Mg 2.50

Summary:
The calculation puts the size of the total moment at 10.1 μB per cell. The total DFT energy (no corrections) comes out at -4.872 eV/atom.

Entry 15:
Compound: DyEr2Sb3
Source: OQMD
Functional: GGA-PBE
Structure: relaxed

Lattice parameters (Å, degrees): 4.3560 4.3560 10.6820 90.00 90.00 120.00
Last column: nearest neighbours and their distance in Å.
Space group P-3m1 (No. 164)
Symmetry-distinct sites (fractional):
Dy (0.0000, 0.0000, 0.0000) x1  6 Sb 3.08
Er (0.3333, 0.6667, 0.6666) x2  6 Sb 3.08
Sb (0.0000, 0.0000, 0.5000) x1  6 Er 3.08
Sb (0.3333, 0.6667, 0.1671) x2  3 Er 3.08, 3 Dy 3.08

Summary:
The calculation puts the size of the total moment at 0.0 μB per cell. The total DFT energy (no corrections) comes out at -5.456 eV/atom.

Entry 16:
Compound: CsGdCoSe3
Source: OQMD
Functional: GGA-PBE
Structure: relaxed

Lattice parameters (Å, degrees): 10.9587 4.1302 16.1723 90.00 90.00 90.00
Last column: nearest neighbours and their distance in Å.
Space group Pnma (No. 62)
Symmetry-distinct sites (fractional):
Cs (0.2365, 0.2500, 0.0098) x4  7 Se 3.66-3.78
Gd (0.0140, 0.7500, 0.2527) x4  6 Se 2.87-2.89
Co (0.2363, 0.7500, 0.7830) x4  4 Se 2.39-2.50
Se (0.0539, 0.7500, 0.8638) x4  1 Co 2.39
Se (0.0841, 0.2500, 0.3676) x4  1 Co 2.40
Se (0.2371, 0.2500, 0.6962) x4  2 Co 2.50

Summary:
The calculation puts the size of the total moment at 12.0 μB per cell. The total DFT energy (no corrections) comes out at -5.021 eV/atom.

Entry 17:
Compound: PrYTm
Source: OQMD
Functional: GGA-PBE
Structure: relaxed

Lattice parameters (Å, degrees): 7.7354 7.7354 7.7354 90.00 90.00 90.00
Last column: nearest neighbours and their distance in Å.
Space group F-43m (No. 216)
Symmetry-distinct sites (fractional):
Pr (0.0000, 0.0000, 0.0000) x4  4 Tm 3.35
Y (0.0000, 0.0000, 0.5000) x4  4 Tm 3.35
Tm (0.2500, 0.2500, 0.2500) x4  4 Pr 3.35, 4 Y 3.35

Summary:
The calculation puts the size of the total moment at 0.0 μB per cell. The total DFT energy (no corrections) comes out at -4.537 eV/atom. The value obtained for the formation energy is 0.701 eV per atom.

Entry 18:
Compound: Ga2FeOs
Source: OQMD
Functional: GGA-PBE
Structure: relaxed

Lattice parameters (Å, degrees): 6.0543 6.0543 6.0543 90.00 90.00 90.00
Last column: nearest neighbours and their distance in Å.
Space group F-43m (No. 216)
Symmetry-distinct sites (fractional):
Ga (0.0000, 0.0000, 0.0000) x4  4 Os 2.62, 4 Ga 2.62
Ga (0.2500, 0.2500, 0.2500) x4  4 Fe 2.62, 4 Ga 2.62
Fe (0.0000, 0.0000, 0.5000) x4  4 Os 2.62, 4 Ga 2.62
Os (0.2500, 0.2500, 0.7500) x4  4 Fe 2.62, 4 Ga 2.62

Summary:
The calculation puts the size of the total moment at 11.0 μB per cell. The total DFT energy (no corrections) comes out at -6.191 eV/atom.

Entry 19:
Compound: Y2NiSe4
Source: OQMD
Functional: GGA-PBE
Structure: relaxed

Lattice parameters (Å, degrees): 11.3167 11.3167 11.3167 90.00 90.00 90.00
Last column: nearest neighbours and their distance in Å.
Space group Fd-3m (No. 227, origin choice 2)
Symmetry-distinct sites (fractional):
Y (0.0000, 0.0000, 0.0000) x16  6 Se 2.86
Ni (0.1250, 0.1250, 0.6250) x8  4 Se 2.40
Se (0.0026, 0.0026, 0.7474) x32  1 Ni 2.40

Summary:
The calculation puts the size of the total moment at 14.4 μB per cell. The total DFT energy (no corrections) comes out at -5.883 eV/atom.

Entry 20:
Compound: TmCo2BP
Source: OQMD
Functional: GGA-PBE
Structure: relaxed

Lattice parameters (Å, degrees): 3.6528 3.6528 9.1650 90.00 90.00 90.00
Last column: nearest neighbours and their distance in Å.
Space group I4mm (No. 107)
Symmetry-distinct sites (fractional):
Tm (0.0000, 0.0000, 0.0000) x2  4 P 2.82, 4 B 2.82, 8 Co 2.84-3.02
Co (0.0000, 0.5000, 0.2374) x4  2 B 2.10, 2 P 2.22
B (0.0000, 0.0000, 0.6247) x2  4 Co 2.10, 1 P 2.28
P (0.0000, 0.0000, 0.3754) x2  4 Co 2.22, 1 B 2.28

Summary:
The calculation puts the size of the total moment at 0.0 μB per cell. The total DFT energy (no corrections) comes out at -6.973 eV/atom.

Entry 21:
Compound: LiAgCl2
Source: OQMD
Functional: GGA-PBE
Structure: relaxed

Lattice parameters (Å, degrees): 4.0646 4.0646 6.6834 90.00 90.00 120.00
Last column: nearest neighbours and their distance in Å.
Space group P3m1 (No. 156)
Symmetry-distinct sites (fractional):
Li (0.0000, 0.0000, 0.0000) x1  4 Cl 2.38-2.43
Ag (0.6667, 0.3333, 0.5221) x1  4 Cl 2.56-2.60
Cl (0.0000, 0.0000, 0.3559) x1  1 Li 2.38, 3 Ag 2.60
Cl (0.6667, 0.3333, 0.9046) x1  3 Li 2.43, 1 Ag 2.56

Summary:
The total DFT energy (no corrections) comes out at -3.238 eV/atom.

Entry 22:
Compound: CsMg2Zn2P3
Source: OQMD
Functional: GGA-PBE
Structure: relaxed

Lattice parameters (Å, degrees): 4.2178 4.2178 10.5331 90.00 90.00 90.00
Last column: nearest neighbours and their distance in Å.
Space group P-4m2 (No. 115)
Symmetry-distinct sites (fractional):
Cs (0.0000, 0.0000, 0.0000) x1  8 P 3.81, 4 Zn 4.17, 4 Cs 4.22
Mg (0.0000, 0.5000, 0.6472) x2  4 P 2.51-2.62
Zn (0.0000, 0.5000, 0.3415) x2  4 P 2.44-2.69
P (0.0000, 0.0000, 0.5000) x1  4 Mg 2.62, 4 Zn 2.69
P (0.5000, 0.5000, 0.2244) x2  2 Zn 2.44, 2 Mg 2.51

Summary:
The total DFT energy (no corrections) comes out at -3.343 eV/atom.

Entry 23:
Compound: AlRe2Pd
Source: OQMD
Functional: GGA-PBE
Structure: relaxed

Lattice parameters (Å, degrees): 6.1835 6.1835 6.1835 90.00 90.00 90.00
Last column: nearest neighbours and their distance in Å.
Space group F-43m (No. 216)
Symmetry-distinct sites (fractional):
Al (0.0000, 0.0000, 0.0000) x4  4 Re 2.68, 4 Pd 2.68
Re (0.0000, 0.0000, 0.5000) x4  4 Pd 2.68, 4 Re 2.68
Re (0.2500, 0.2500, 0.7500) x4  4 Re 2.68, 4 Al 2.68
Pd (0.2500, 0.2500, 0.2500) x4  4 Re 2.68, 4 Al 2.68

Summary:
The calculation puts the size of the total moment at 0.2 μB per cell. The total DFT energy (no corrections) comes out at -8.444 eV/atom.